[1]
! CdAgBi (PBE, optimized geometry); values from VASP
&SYSTEM
  ibrav = 0, nat = 6, ntyp = 3
/
ATOMIC_SPECIES
Cd 112.41 Cd.upf
Ag 107.87 Ag.upf
Bi 208.98 Bi.upf
CELL_PARAMETERS angstrom
-0.7647 -3.2587 -0.3884
2.9613 1.1777 -1.0939
6.1639 -3.0444 13.4080
ATOMIC_POSITIONS angstrom
Cd 0.1940 -1.7303 -0.4821
Cd 4.5169 -1.7735 5.9872
Ag 2.3839 -2.8123 4.2848
Ag 4.1656 -3.6922 8.1603
Bi 6.4066 -2.7091 10.1169
Bi 2.6129 -0.8354 1.8648
! total DFT energy (no corrections)	-2.452	eV per atom
! SG	Amm2, No. 38
! crystal system	orthorhombic
! DOS at the Fermi energy	0.298	states/eV/atom



[2]
! CsIO2 (PBE, optimized geometry); values from VASP
&SYSTEM
  ibrav = 0, nat = 12, ntyp = 3
/
ATOMIC_SPECIES
Cs 132.91 Cs.upf
I 126.90 I.upf
O 16.00 O.upf
CELL_PARAMETERS angstrom
-0.5003 5.3492 -5.7768
-2.4584 -7.3920 -1.2452
-7.3285 2.0159 2.5015
ATOMIC_POSITIONS angstrom
Cs -0.7714 -0.5325 -1.8307
Cs -6.7032 -4.1209 0.7471
Cs -2.8127 4.6266 -3.4369
I -4.7531 0.2562 -1.3336
I -2.7751 -4.3355 -0.3700
I -6.4232 5.0605 -1.5662
O -7.9271 5.3998 -2.6535
O -5.2147 1.7805 -0.3223
O -4.3952 -0.0012 -5.0176
O -2.3544 -5.4227 -1.8534
O -3.4502 -0.6872 -0.3480
O -7.5201 -1.1496 -3.3668
! SG	P3_121, No. 152
! crystal system	trigonal
! DOS at the Fermi energy	0.000	states/eV/atom
! relative energy among the computed polymorphs	0.00	eV/f.u.



[3]
! CaDyCl (PBE, optimized geometry); values from VASP
&SYSTEM
  ibrav = 0, nat = 6, ntyp = 3
/
ATOMIC_SPECIES
Ca 40.08 Ca.upf
Dy 162.50 Dy.upf
Cl 35.45 Cl.upf
CELL_PARAMETERS angstrom
3.6441 0.0000 0.0000
-1.8220 3.1578 0.0000
0.0000 0.0000 14.4895
ATOMIC_POSITIONS angstrom
Ca 1.8220 0.6997 0.0000
Ca 0.0000 1.7574 7.2447
Dy 1.8220 0.7022 4.2210
Dy 1.8220 0.7022 10.2685
Cl 0.0000 1.7532 12.4204
Cl 0.0000 1.7532 2.0691
! total DFT energy (no corrections)	-3.674	eV per atom
! SG	P-6m2, No. 187
! crystal system	hexagonal
! DOS at the Fermi energy	0.929	states/eV/atom



[4]
! BaCd3In (PBE, optimized geometry); values from VASP
&SYSTEM
  ibrav = 0, nat = 5, ntyp = 3
/
ATOMIC_SPECIES
Cd 112.41 Cd.upf
Ba 137.33 Ba.upf
In 114.82 In.upf
CELL_PARAMETERS angstrom
-1.9021 -3.8307 -3.5797
3.6106 1.8041 -3.8491
3.8016 -3.6301 1.8646
ATOMIC_POSITIONS angstrom
Cd 1.8053 0.9020 -1.9245
Cd 1.9008 -1.8150 0.9323
Cd -0.9510 -1.9154 -1.7899
Ba 2.7551 -2.8284 -2.7821
In 0.0000 0.0000 0.0000
! SG	Pm-3m, No. 221
! crystal system	cubic
! DOS at the Fermi energy	0.785	states/eV/atom
! relative energy among the computed polymorphs	1.53	eV/f.u.



[5]
! Tb2HoSi2Rh5 (PBE, optimized geometry); values from VASP
&SYSTEM
  ibrav = 0, nat = 20, ntyp = 4
/
ATOMIC_SPECIES
Tb 158.93 Tb.upf
Ho 164.93 Ho.upf
Si 28.09 Si.upf
Rh 102.91 Rh.upf
CELL_PARAMETERS angstrom
3.5370 0.0000 0.0000
0.0000 9.9932 0.0000
0.0000 0.0000 9.9932
ATOMIC_POSITIONS angstrom
Tb 0.0000 6.7344 1.7378
Tb 0.0000 3.2588 8.2554
Tb 0.0000 1.7378 3.2588
Tb 0.0000 8.2554 6.7344
Ho 0.0000 0.0000 0.0000
Ho 0.0000 4.9966 4.9966
Si 0.0000 1.2268 6.2234
Si 0.0000 8.7664 3.7698
Si 0.0000 6.2234 8.7664
Si 0.0000 3.7698 1.2268
Rh 1.7685 2.2173 0.7001
Rh 1.7685 7.7759 9.2931
Rh 1.7685 0.7001 7.7759
Rh 1.7685 7.2139 4.2965
Rh 1.7685 9.2931 2.2173
Rh 1.7685 2.7793 5.6967
Rh 1.7685 5.6967 7.2139
Rh 1.7685 4.2965 2.7793
Rh 1.7685 4.9966 0.0000
Rh 1.7685 0.0000 4.9966
! total DFT energy (no corrections)	-7.144	eV per atom
! SG	P4/mbm, No. 127
! crystal system	tetragonal
! DOS at the Fermi energy	0.393	states/eV/atom



[6]
! Dy4In3 (PBE, optimized geometry); values from VASP
&SYSTEM
  ibrav = 0, nat = 14, ntyp = 2
/
ATOMIC_SPECIES
Dy 162.50 Dy.upf
In 114.82 In.upf
CELL_PARAMETERS angstrom
-3.4827 -2.7687 -4.8695
7.9357 0.4886 -2.9752
-0.8326 -5.2941 6.5837
ATOMIC_POSITIONS angstrom
Dy -1.7413 -1.3843 -2.4347
Dy 0.0000 0.0000 0.0000
Dy 1.8368 -5.1458 -2.9682
Dy 2.1282 -1.5992 -2.2149
Dy 5.7176 -1.8300 -1.6726
Dy 1.7836 -2.4284 1.7072
Dy 1.4922 -5.9750 0.9539
Dy -2.0972 -5.7442 0.4116
In 3.5780 -4.6699 3.3485
In -0.4698 -4.4839 3.1596
In 0.0003 -3.4597 -0.7372
In 0.0425 -2.9043 -4.6095
In 4.0903 -3.0903 -4.4206
In 3.6201 -4.1145 -0.5238
! total DFT energy (no corrections)	-4.204	eV per atom
! SG	R-3, No. 148
! crystal system	trigonal
! DOS at the Fermi energy	1.102	states/eV/atom